[1]
InSiAu2 | PBE-GGA | optimized geometry

Results
Formation energy from raw total energies   0.107 eV per atom

```
data_InSiAu2
_chemical_formula_sum 'In1 Si1 Au2'
_space_group_name_H-M_alt 'P m m m'
_space_group_IT_number 47
_cell_length_a 2.940
_cell_length_b 3.509
_cell_length_c 7.468
_cell_angle_alpha 90.00
_cell_angle_beta 90.00
_cell_angle_gamma 90.00
loop_
_space_group_symop_operation_xyz
'x,y,z'
'-x,-y,-z'
'-x,-y,z'
'x,y,-z'
'x,-y,-z'
'-x,y,z'
'-x,y,-z'
'x,-y,z'
loop_
_atom_site_label
_atom_site_type_symbol
_atom_site_fract_x
_atom_site_fract_y
_atom_site_fract_z
In1 In 0.000 0.000 0.000
Si1 Si 0.000 0.000 0.500
Au1 Au 0.500 0.500 0.282
```

[2]
TbSmHoTl | PBE-GGA | optimized geometry

Results
ΔE to the lowest computed polymorph   139 meV/atom
Energy of formation   -4.4 kJ per mole of atoms

```
data_TbSmHoTl
_chemical_formula_sum 'Tb4 Sm4 Ho4 Tl4'
_space_group_name_H-M_alt 'F -4 3 m'
_space_group_IT_number 216
_space_group_name_Hall 'F -4 2 3'
_cell_length_a 7.785
_cell_length_b 7.785
_cell_length_c 7.785
_cell_angle_alpha 90.00
_cell_angle_beta 90.00
_cell_angle_gamma 90.00
loop_
_atom_site_label
_atom_site_type_symbol
_atom_site_fract_x
_atom_site_fract_y
_atom_site_fract_z
Tb1 Tb 0.000 0.000 0.000
Sm1 Sm 0.000 0.000 0.500
Ho1 Ho 0.250 0.250 0.250
Tl1 Tl 0.250 0.250 0.750
```

[3]
SrSn2As2 | PBE-GGA | optimized geometry

Results
Energy of formation   -34.8 kJ per mole of atoms

```
data_SrSn2As2
_chemical_formula_sum 'Sr2 Sn4 As4'
_space_group_name_H-M_alt 'I 4/m m m'
_space_group_IT_number 139
_space_group_name_Hall '-I 4 2'
_cell_length_a 5.449
_cell_length_b 5.449
_cell_length_c 9.541
_cell_angle_alpha 90.00
_cell_angle_beta 90.00
_cell_angle_gamma 90.00
loop_
_atom_site_label
_atom_site_type_symbol
_atom_site_fract_x
_atom_site_fract_y
_atom_site_fract_z
Sr1 Sr 0.000 0.000 0.000
Sn1 Sn 0.000 0.000 0.345
As1 As 0.000 0.500 0.250
```

[4]
CsHf2Te4 | PBE-GGA | optimized geometry

Results
ΔE to the lowest computed polymorph   183 meV/atom
Formation energy from raw total energies   -0.741 eV per atom

```
data_CsHf2Te4
_chemical_formula_sum 'Cs4 Hf8 Te16'
_space_group_name_H-M_alt 'C m c m'
_space_group_IT_number 63
_space_group_name_Hall '-C 2c 2'
_cell_length_a 4.303
_cell_length_b 14.376
_cell_length_c 14.927
_cell_angle_alpha 90.00
_cell_angle_beta 90.00
_cell_angle_gamma 90.00
loop_
_atom_site_label
_atom_site_type_symbol
_atom_site_fract_x
_atom_site_fract_y
_atom_site_fract_z
Cs1 Cs 0.000 0.109 0.250
Hf1 Hf 0.000 0.372 0.064
Te1 Te 0.000 0.000 0.000
Te2 Te 0.000 0.261 0.601
Te3 Te 0.000 0.406 0.250
```

[5]
K3AcY2O6 | PBE-GGA | optimized geometry

Results
Formation energy from raw total energies   -2.660 eV per atom

```
data_K3AcY2O6
_chemical_formula_sum 'K6 Ac2 Y4 O12'
_space_group_name_H-M_alt 'C 1 2/m 1'
_space_group_IT_number 12
_cell_length_a 16.407
_cell_length_b 3.604
_cell_length_c 7.577
_cell_angle_alpha 90.00
_cell_angle_beta 106.77
_cell_angle_gamma 90.00
loop_
_space_group_symop_operation_xyz
'x,y,z'
'-x,-y,-z'
'-x,y,-z'
'x,-y,z'
'x+1/2,y+1/2,z'
'-x+1/2,-y+1/2,-z'
'-x+1/2,y+1/2,-z'
'x+1/2,-y+1/2,z'
loop_
_atom_site_label
_atom_site_type_symbol
_atom_site_fract_x
_atom_site_fract_y
_atom_site_fract_z
K1 K 0.000 0.000 0.000
K2 K 0.171 0.500 0.330
Ac1 Ac 0.000 0.000 0.500
Y1 Y 0.170 0.500 0.842
O1 O 0.021 0.500 0.737
O2 O 0.160 0.000 0.634
O3 O 0.183 0.000 0.049
```

[6]
Cu2AgMo | PBE-GGA | optimized geometry

Results
ΔE to the lowest computed polymorph   304 meV/atom
Energy of formation   48.9 kJ per mole of atoms

```
data_Cu2AgMo
_chemical_formula_sum 'Cu2 Ag1 Mo1'
_space_group_name_H-M_alt 'P m m m'
_space_group_IT_number 47
_cell_length_a 2.647
_cell_length_b 4.649
_cell_length_c 4.871
_cell_angle_alpha 90.00
_cell_angle_beta 90.00
_cell_angle_gamma 90.00
loop_
_space_group_symop_operation_xyz
'x,y,z'
'-x,-y,-z'
'-x,-y,z'
'x,y,-z'
'x,-y,-z'
'-x,y,z'
'-x,y,-z'
'x,-y,z'
loop_
_atom_site_label
_atom_site_type_symbol
_atom_site_fract_x
_atom_site_fract_y
_atom_site_fract_z
Cu1 Cu 0.000 0.000 0.000
Cu2 Cu 0.500 0.000 0.500
Ag1 Ag 0.000 0.500 0.500
Mo1 Mo 0.500 0.500 0.000
```

[7]
SiAs2IrSe | PBE-GGA | optimized geometry

Results
ΔE to the lowest computed polymorph   275 meV/atom
Formation energy from raw total energies   1.040 eV per atom

```
data_SiAs2IrSe
_chemical_formula_sum 'Si1 As2 Ir1 Se1'
_space_group_name_H-M_alt 'P 4/m m m'
_space_group_IT_number 123
_space_group_name_Hall '-P 4 2'
_cell_length_a 4.603
_cell_length_b 4.603
_cell_length_c 4.614
_cell_angle_alpha 90.00
_cell_angle_beta 90.00
_cell_angle_gamma 90.00
loop_
_atom_site_label
_atom_site_type_symbol
_atom_site_fract_x
_atom_site_fract_y
_atom_site_fract_z
Si1 Si 0.000 0.000 0.000
As1 As 0.000 0.500 0.000
Ir1 Ir 0.500 0.500 0.500
Se1 Se 0.000 0.000 0.500
```

[8]
Ba3PtC | PBE-GGA | optimized geometry

Results
ΔE to the lowest computed polymorph   0 meV/atom
Energy of formation   29.6 kJ per mole of atoms

```
data_Ba3PtC
_chemical_formula_sum 'Ba3 Pt1 C1'
_space_group_name_H-M_alt 'P m -3 m'
_space_group_IT_number 221
_space_group_name_Hall '-P 4 2 3'
_cell_length_a 5.562
_cell_length_b 5.562
_cell_length_c 5.562
_cell_angle_alpha 90.00
_cell_angle_beta 90.00
_cell_angle_gamma 90.00
loop_
_atom_site_label
_atom_site_type_symbol
_atom_site_fract_x
_atom_site_fract_y
_atom_site_fract_z
Ba1 Ba 0.000 0.000 0.500
Pt1 Pt 0.500 0.500 0.500
C1 C 0.000 0.000 0.000
```

[9]
MnSiN3 | PBE-GGA | optimized geometry

Results
Formation energy from raw total energies   1.155 eV per atom

```
data_MnSiN3
_chemical_formula_sum 'Mn1 Si1 N3'
_space_group_name_H-M_alt 'P m -3 m'
_space_group_IT_number 221
_space_group_name_Hall '-P 4 2 3'
_cell_length_a 3.682
_cell_length_b 3.682
_cell_length_c 3.682
_cell_angle_alpha 90.00
_cell_angle_beta 90.00
_cell_angle_gamma 90.00
loop_
_atom_site_label
_atom_site_type_symbol
_atom_site_fract_x
_atom_site_fract_y
_atom_site_fract_z
Mn1 Mn 0.000 0.000 0.000
Si1 Si 0.500 0.500 0.500
N1 N 0.000 0.000 0.500
```

[10]
Tb6Y2Ag | PBE-GGA | optimized geometry

Results
Energy of formation   4.8 kJ per mole of atoms

```
data_Tb6Y2Ag
_chemical_formula_sum 'Tb12 Y4 Ag2'
_space_group_name_H-M_alt 'I m m m'
_space_group_IT_number 71
_space_group_name_Hall '-I 2 2'
_cell_length_a 3.567
_cell_length_b 10.247
_cell_length_c 15.188
_cell_angle_alpha 90.00
_cell_angle_beta 90.00
_cell_angle_gamma 90.00
loop_
_atom_site_label
_atom_site_type_symbol
_atom_site_fract_x
_atom_site_fract_y
_atom_site_fract_z
Tb1 Tb 0.000 0.158 0.182
Tb2 Tb 0.000 0.236 0.500
Y1 Y 0.000 0.500 0.136
Ag1 Ag 0.000 0.000 0.000
```

[11]
Rb2ZnCd5 | PBE-GGA | optimized geometry

Results
Energy of formation   -0.1 kJ per mole of atoms

```
data_Rb2ZnCd5
_chemical_formula_sum 'Rb4 Zn2 Cd10'
_space_group_name_H-M_alt 'I 4 m m'
_space_group_IT_number 107
_space_group_name_Hall 'I 4 -2'
_cell_length_a 6.558
_cell_length_b 6.558
_cell_length_c 12.741
_cell_angle_alpha 90.00
_cell_angle_beta 90.00
_cell_angle_gamma 90.00
loop_
_atom_site_label
_atom_site_type_symbol
_atom_site_fract_x
_atom_site_fract_y
_atom_site_fract_z
Rb1 Rb 0.000 0.500 0.000
Zn1 Zn 0.000 0.000 0.113
Cd1 Cd 0.000 0.000 0.887
Cd2 Cd 0.246 0.246 0.245
```

[12]
AcHoGa | PBE-GGA | optimized geometry

Results
ΔE to the lowest computed polymorph   235 meV/atom
Energy of formation   -13.0 kJ per mole of atoms

```
data_AcHoGa
_chemical_formula_sum 'Ac1 Ho1 Ga1'
_space_group_name_H-M_alt 'P 3 m 1'
_space_group_IT_number 156
_cell_length_a 3.8247
_cell_length_b 3.8247
_cell_length_c 7.6754
_cell_angle_alpha 90.00
_cell_angle_beta 90.00
_cell_angle_gamma 120.00
loop_
_space_group_symop_operation_xyz
'x,y,z'
'-y,x-y,z'
'-x+y,-x,z'
'-y,-x,z'
'-x+y,y,z'
'x,x-y,z'
loop_
_atom_site_label
_atom_site_type_symbol
_atom_site_fract_x
_atom_site_fract_y
_atom_site_fract_z
Ac1 Ac 0.0000 0.0000 0.0000
Ho1 Ho 0.3333 0.6667 0.5748
Ga1 Ga 0.6667 0.3333 0.3120
```

no.,calculated total energy (eV per atom)
1,-3.572
2,-4.119
3,-4.158
4,-5.502
5,-6.833
6,-4.961
7,-4.374
8,-3.900
9,-6.759
10,-4.791
11,-0.974
12,-4.039